A plane-wave DFT calculation with PBEsol was carried out for a geometry-optimized Ba5P9 structure.

Structure (POSCAR):
```
Ba5P9
1.0
-4.4614 3.4364 7.4081
-2.9125 -8.4731 -2.5133
10.1137 -1.3745 3.2287
P Ba
18 10
direct
0.2285 0.9969 0.9429 P
0.7185 0.6375 0.3503 P
0.2872 0.3682 0.6497 P
0.2779 0.7780 0.5000 P
0.7662 0.5548 0.5208 P
0.0541 0.2856 0.0571 P
0.9932 0.2962 0.8483 P
0.0280 0.0280 0.0000 P
0.2469 0.9785 0.4429 P
0.0341 0.2454 0.4792 P
0.4954 0.7841 0.9792 P
0.3950 0.1980 0.6517 P
0.5356 0.8041 0.5571 P
0.4480 0.1450 0.1517 P
0.8048 0.5162 0.0208 P
0.5462 0.7432 0.3483 P
0.6182 0.0372 0.1497 P
0.8875 0.4685 0.8503 P
0.3480 0.3743 0.3659 Ba
0.2321 0.7584 0.1341 Ba
0.6817 0.6515 0.7828 Ba
0.4101 0.4101 0.0000 Ba
0.8687 0.8989 0.2172 Ba
0.1489 0.6187 0.7172 Ba
0.6601 0.1601 0.5000 Ba
0.6243 0.0980 0.8659 Ba
0.9015 0.4317 0.2828 Ba
0.0084 0.9821 0.6341 Ba
```

Results
The value obtained for the energy relative to the elements is -0.848 eV per atom. The density of states at the Fermi level comes out at 0.246 states/eV per atom. Its space group is Fdd2.